Material: TlSbW
Method: DFT, PBE
State: optimized geometry

Output
Polymorph energy (0 for the lowest one) = 119 meV per atom
Final energy = -34.303 eV for the cell shown

Cell and atoms, written as CIF:
```
data_TlSbW
_chemical_formula_sum 'Tl2 Sb2 W2'
_symmetry_space_group_name_H-M 'I 4 m m'
_symmetry_Int_Tables_number 107
_symmetry_space_group_name_Hall 'I 4 -2'
_cell_length_a 3.1094
_cell_length_b 3.1094
_cell_length_c 14.7834
_cell_angle_alpha 90.00
_cell_angle_beta 90.00
_cell_angle_gamma 90.00
loop_
_atom_site_label
_atom_site_fract_x
_atom_site_fract_y
_atom_site_fract_z
Tl1 0.0000 0.0000 0.0000
Sb1 0.0000 0.0000 0.7228
W1 0.0000 0.0000 0.3489
```



Material: TlSbW2
Method: DFT, PBE
State: optimized geometry

Output
Polymorph energy (0 for the lowest one) = 0 meV per atom
Final energy = -30.617 eV for the cell shown

Cell and atoms, written as CIF:
```
data_TlSbW2
_chemical_formula_sum 'Tl1 Sb1 W2'
_symmetry_space_group_name_H-M 'P 4 m m'
_symmetry_Int_Tables_number 99
_cell_length_a 3.2523
_cell_length_b 3.2523
_cell_length_c 8.4645
_cell_angle_alpha 90.00
_cell_angle_beta 90.00
_cell_angle_gamma 90.00
loop_
_symmetry_equiv_pos_as_xyz
'x,y,z'
'-y,x,z'
'-x,-y,z'
'y,-x,z'
'-x,y,z'
'y,x,z'
'x,-y,z'
'-y,-x,z'
loop_
_atom_site_label
_atom_site_fract_x
_atom_site_fract_y
_atom_site_fract_z
Tl1 0.0000 0.0000 0.0000
Sb1 0.5000 0.5000 0.6224
W1 0.0000 0.0000 0.4043
W2 0.5000 0.5000 0.2461
```



Material: TlSb2W
Method: DFT, PBE
State: optimized geometry

Output
Polymorph energy (0 for the lowest one) = 698 meV per atom
Final energy = -19.753 eV for the cell shown

Cell and atoms, written as CIF:
```
data_TlSb2W
_chemical_formula_sum 'Tl1 Sb2 W1'
_symmetry_space_group_name_H-M 'P 4/m m m'
_symmetry_Int_Tables_number 123
_symmetry_space_group_name_Hall '-P 4 2'
_cell_length_a 5.0772
_cell_length_b 5.0772
_cell_length_c 3.5450
_cell_angle_alpha 90.00
_cell_angle_beta 90.00
_cell_angle_gamma 90.00
loop_
_atom_site_label
_atom_site_fract_x
_atom_site_fract_y
_atom_site_fract_z
Tl1 0.0000 0.0000 0.0000
Sb1 0.0000 0.5000 0.5000
W1 0.5000 0.5000 0.0000
```



Material: TlSbW2
Method: DFT, PBE
State: optimized geometry

Output
Polymorph energy (0 for the lowest one) = 81 meV per atom
Final energy = -90.883 eV for the cell shown

Cell and atoms, written as CIF:
```
data_TlSbW2
_chemical_formula_sum 'Tl3 Sb3 W6'
_symmetry_space_group_name_H-M 'R 3 m'
_symmetry_Int_Tables_number 160
_symmetry_space_group_name_Hall 'R 3 -2"'
_cell_length_a 3.1735
_cell_length_b 3.1735
_cell_length_c 31.0979
_cell_angle_alpha 90.00
_cell_angle_beta 90.00
_cell_angle_gamma 120.00
loop_
_atom_site_label
_atom_site_fract_x
_atom_site_fract_y
_atom_site_fract_z
Tl1 0.0000 0.0000 0.0000
Sb1 0.0000 0.0000 0.2169
W1 0.0000 0.0000 0.4762
W2 0.0000 0.0000 0.7509
```



Material: TlSbW2
Method: DFT, PBE
State: optimized geometry

Output
Polymorph energy (0 for the lowest one) = 630 meV per atom
Final energy = -56.197 eV for the cell shown

Cell and atoms, written as CIF:
```
data_TlSbW2
_chemical_formula_sum 'Tl2 Sb2 W4'
_symmetry_space_group_name_H-M 'I -4 m 2'
_symmetry_Int_Tables_number 119
_symmetry_space_group_name_Hall 'I -4 -2'
_cell_length_a 4.2636
_cell_length_b 4.2636
_cell_length_c 8.4562
_cell_angle_alpha 90.00
_cell_angle_beta 90.00
_cell_angle_gamma 90.00
loop_
_atom_site_label
_atom_site_fract_x
_atom_site_fract_y
_atom_site_fract_z
Tl1 0.0000 0.0000 0.0000
Sb1 0.0000 0.5000 0.2500
W1 0.0000 0.0000 0.5000
W2 0.0000 0.5000 0.7500
```



Material: TlSbW2
Method: DFT, PBE
State: optimized geometry

Output
Polymorph energy (0 for the lowest one) = 646 meV per atom
Final energy = -56.063 eV for the cell shown

Cell and atoms, written as CIF:
```
data_TlSbW2
_chemical_formula_sum 'Tl2 Sb2 W4'
_symmetry_space_group_name_H-M 'I m m m'
_symmetry_Int_Tables_number 71
_symmetry_space_group_name_Hall '-I 2 2'
_cell_length_a 3.3462
_cell_length_b 5.0306
_cell_length_c 9.2677
_cell_angle_alpha 90.00
_cell_angle_beta 90.00
_cell_angle_gamma 90.00
loop_
_atom_site_label
_atom_site_fract_x
_atom_site_fract_y
_atom_site_fract_z
Tl1 0.0000 0.0000 0.0000
Sb1 0.0000 0.0000 0.5000
W1 0.0000 0.5000 0.2404
```



Material: TlSb2W
Method: DFT, PBE
State: optimized geometry

Output
Polymorph energy (0 for the lowest one) = 728 meV per atom
Final energy = -39.263 eV for the cell shown

Cell and atoms, written as CIF:
```
data_TlSb2W
_chemical_formula_sum 'Tl2 Sb4 W2'
_symmetry_space_group_name_H-M 'I -4 m 2'
_symmetry_Int_Tables_number 119
_symmetry_space_group_name_Hall 'I -4 -2'
_cell_length_a 4.4367
_cell_length_b 4.4367
_cell_length_c 9.5236
_cell_angle_alpha 90.00
_cell_angle_beta 90.00
_cell_angle_gamma 90.00
loop_
_atom_site_label
_atom_site_fract_x
_atom_site_fract_y
_atom_site_fract_z
Tl1 0.0000 0.0000 0.0000
Sb1 0.0000 0.0000 0.5000
Sb2 0.0000 0.5000 0.2500
W1 0.0000 0.5000 0.7500
```



Material: TlSb2W
Method: DFT, PBE
State: optimized geometry

Output
Polymorph energy (0 for the lowest one) = 393 meV per atom
Final energy = -41.941 eV for the cell shown

Cell and atoms, written as CIF:
```
data_TlSb2W
_chemical_formula_sum 'Tl2 Sb4 W2'
_symmetry_space_group_name_H-M 'A m m 2'
_symmetry_Int_Tables_number 38
_cell_length_a 4.9131
_cell_length_b 3.8005
_cell_length_c 10.1769
_cell_angle_alpha 90.00
_cell_angle_beta 90.00
_cell_angle_gamma 90.00
loop_
_symmetry_equiv_pos_as_xyz
'x,y,z'
'-x,-y,z'
'-x,y,z'
'x,-y,z'
'x,y+1/2,z+1/2'
'-x,-y+1/2,z+1/2'
'-x,y+1/2,z+1/2'
'x,-y+1/2,z+1/2'
loop_
_atom_site_label
_atom_site_fract_x
_atom_site_fract_y
_atom_site_fract_z
Tl1 0.0000 0.0000 0.0000
Sb1 0.0000 0.0000 0.7233
Sb2 0.5000 0.0000 0.3078
W1 0.5000 0.0000 0.5966
```



no.,formation energy without anion corrections (eV per formula unit)
1,2.29
2,1.78
3,3.81
4,2.10
5,4.30
6,4.36
7,3.93
8,2.59